## Tb8Sm6In (PBE)

Data for a geometry-optimized Tb8Sm6In structure.

formation energy from the elements	103	kJ/mol of formula units
calculated density	7.73	g cm⁻³

Cell: 9.3871 9.3871 6.4429 Å, 90.00 90.00 120.00°
Space group P-3 (No. 147)
Symmetry-distinct sites (fractional):
Tb (0.0384, 0.2655, 0.1845)
Tb (0.3333, 0.6667, 0.1571)
Sm (0.0914, 0.4487, 0.6771)
In (0.0000, 0.0000, 0.5000)

---

## TlCoSe2 (PBE)

Data for a geometry-optimized TlCoSe2 structure.

electronic total energy	-3.45	eV/atom
calculated density	8.54	g cm⁻³

Cell: 6.895 6.895 6.895 Å, 90.00 90.00 90.00°
Space group F-43m (No. 216)
Symmetry-distinct sites (fractional):
Tl (0.000, 0.000, 0.000)
Co (0.250, 0.250, 0.250)
Se (0.000, 0.000, 0.500)
Se (0.250, 0.250, 0.750)

---

## HfHg2Cl (PBE)

Data for a geometry-optimized HfHg2Cl structure.

calculated density	10.87	g cm⁻³
offset from the most stable computed form	0.395	eV/atom

Cell: 7.217 7.217 7.217 Å, 90.00 90.00 90.00°
Space group Fm-3m (No. 225)
Symmetry-distinct sites (fractional):
Hf (0.000, 0.000, 0.000)
Hg (0.250, 0.250, 0.250)
Cl (0.000, 0.000, 0.500)

---

## Ac3NiIrAu (PBE)

Data for a geometry-optimized Ac3NiIrAu structure.

formation energy from the elements	-346	kJ/mol of formula units
calculated density	10.37	g cm⁻³

Cell: 9.277 4.266 9.439 Å, 90.00 104.61 90.00°
Space group P2_1/m (No. 11)
Symmetry-distinct sites (fractional):
Ac (0.073, 0.250, 0.354)
Ac (0.227, 0.250, 0.994)
Ac (0.394, 0.750, 0.685)
Ni (0.470, 0.750, 0.053)
Ir (0.164, 0.250, 0.675)
Au (0.322, 0.750, 0.275)

---

## RbNb2AlBi (PBE)

Data for a geometry-optimized RbNb2AlBi structure.

formation energy from the elements	581	kJ/mol of formula units
calculated density	5.70	g cm⁻³

Cell: 5.096 5.096 5.686 Å, 90.00 90.00 90.00°
Space group P4/mmm (No. 123)
Symmetry-distinct sites (fractional):
Rb (0.000, 0.000, 0.000)
Nb (0.000, 0.500, 0.500)
Al (0.500, 0.500, 0.500)
Bi (0.500, 0.500, 0.000)

---

## Ce2BiP (PBE)

Data for a geometry-optimized Ce2BiP structure.

formation energy from the elements	-400	kJ/mol of formula units
calculated density	7.45	g cm⁻³

Cell: 4.2079 4.2079 22.6796 Å, 90.00 90.00 120.00°
Space group R3m (No. 160, hexagonal axes)
Symmetry-distinct sites (fractional):
Ce (0.0000, 0.0000, 0.0000)
Ce (0.0000, 0.0000, 0.1931)
Bi (0.0000, 0.0000, 0.4286)
P (0.0000, 0.0000, 0.5985)

---

## Mg2SnPdPt (PBE)

Data for a geometry-optimized Mg2SnPdPt structure.

formation energy from the elements	-59	kJ/mol of formula units
calculated density	6.42	g cm⁻³

Cell: 4.932 4.932 4.987 Å, 90.00 90.00 90.00°
Space group P4/mmm (No. 123)
Symmetry-distinct sites (fractional):
Mg (0.000, 0.500, 0.000)
Sn (0.000, 0.000, 0.500)
Pd (0.500, 0.500, 0.500)
Pt (0.000, 0.000, 0.000)

---

## MnOsPb2 (PBE)

Data for a geometry-optimized MnOsPb2 structure.

formation energy from the elements	246	kJ/mol of formula units
calculated density	12.97	g cm⁻³
offset from the most stable computed form	0.260	eV/atom

Cell: 10.219 3.219 6.492 Å, 90.00 127.73 90.00°
Space group Cm (No. 8)
Symmetry-distinct sites (fractional):
Mn (0.000, 0.000, 0.000)
Os (0.073, 0.500, 0.784)
Pb (0.222, 0.000, 0.576)
Pb (0.346, 0.000, 0.205)